[1]
An optimized crystal structure of Pm4Te2PtSe, computed with GGA-PBE.

POSCAR file:
```
Pm4Te2PtSe
1.0
4.245 0.000 0.000
0.000 7.574 0.150
0.000 -2.631 7.214
Se Pm Te Pt
1 4 2 1
Cartesian
0.000 0.000 0.000
2.122 3.686 5.686
2.122 1.257 1.678
0.000 4.928 1.659
0.000 0.014 5.704
2.122 -1.315 3.607
0.000 2.471 3.682
2.122 3.787 0.075
```

## Properties
**Calculated volume**: 234 Å³/cell
**Symmetry**: P2/m (10)
**E_form (uncorrected)**: -1.461 eV/atom
**Density of states at the Fermi level**: 4.9 states/eV/f.u.
**Raw total energy**: -0.2136 Ha/atom

[2]
An optimized crystal structure of PmThPtSe, computed with GGA-PBE.

POSCAR file:
```
PmThPtSe
1.0
-2.744 1.615 2.492
2.870 -2.447 1.463
5.420 5.741 -1.034
Pt Pm Se Th
1 1 1 1
Cartesian
2.493 4.049 0.738
0.435 2.745 2.598
3.028 -1.480 1.629
5.396 4.058 0.649
```

## Properties
**Calculated volume**: 108 Å³/cell
**Symmetry**: R3m (160)
**E_form (uncorrected)**: -1.333 eV/atom
**Density of states at the Fermi level**: 3.7 states/eV/f.u.
**Raw total energy**: -0.2483 Ha/atom

[3]
An optimized crystal structure of PmSi4Pt2, computed with GGA-PBE.

POSCAR file:
```
PmSi4Pt2
1.0
4.225 0.000 0.000
0.000 6.637 0.000
0.000 0.000 16.993
Pt Si Pm
8 16 4
Cartesian
1.056 3.535 5.034
1.056 4.933 0.384
3.169 0.216 3.463
3.169 1.614 8.112
3.169 1.705 16.609
3.169 3.103 11.959
1.056 5.023 8.881
1.056 6.422 13.531
1.056 4.370 11.425
1.056 1.771 11.686
3.169 3.600 9.520
3.169 6.356 1.024
1.056 0.282 15.970
3.169 5.090 13.804
3.169 2.267 5.568
1.056 0.913 9.180
3.169 4.232 16.310
1.056 3.037 7.473
3.169 1.052 14.065
1.056 5.586 2.928
1.056 2.405 0.683
3.169 4.866 5.307
3.169 5.724 7.813
1.056 1.548 3.189
3.169 6.451 10.982
1.056 3.133 14.508
3.169 3.505 2.486
1.056 0.186 6.011
```

## Properties
**Calculated volume**: 477 Å³/cell
**Symmetry**: Pnma (62)
**E_form (uncorrected)**: -0.660 eV/atom
**Density of states at the Fermi level**: 2.7 states/eV/f.u.
**Raw total energy**: -0.2265 Ha/atom

[4]
An optimized crystal structure of Pm3Si2Pt3, computed with GGA-PBE.

POSCAR file:
```
Pm3Si2Pt3
1.0
-0.297 4.297 0.338
-4.219 -2.217 -3.131
-8.205 -1.521 12.132
Pm Pt Si
6 6 4
Cartesian
-7.020 1.492 2.480
-9.489 -1.193 6.837
-4.658 1.930 -1.012
-3.232 1.752 2.502
-5.701 -0.933 6.859
-8.063 -1.371 10.351
-4.991 1.437 4.961
-1.605 2.065 -0.047
-7.894 0.982 8.188
-7.730 -0.878 4.378
-4.826 -0.424 1.151
-11.116 -1.506 9.386
-7.569 1.201 5.694
-5.152 -0.643 3.645
-10.087 0.734 9.417
-2.634 -0.176 -0.078
```

## Properties
**Calculated volume**: 336 Å³/cell
**Symmetry**: Cmcm (63)
**E_form (uncorrected)**: -1.110 eV/atom
**Density of states at the Fermi level**: 4.8 states/eV/f.u.
**Raw total energy**: -0.2393 Ha/atom

[5]
An optimized crystal structure of Pm3Si2Pt4, computed with GGA-PBE.

POSCAR file:
```
Pm3Si2Pt4
1.0
4.360 0.000 0.000
-2.180 5.271 -0.327
0.000 -2.607 8.238
Pm Si Pt
3 2 4
Cartesian
0.000 3.076 2.295
0.000 0.000 0.000
2.180 -0.412 5.616
0.000 1.783 5.289
2.180 0.882 2.622
2.180 2.078 0.516
0.000 0.587 7.395
2.180 2.636 4.545
0.000 0.028 3.366
```

## Properties
**Calculated volume**: 186 Å³/cell
**Symmetry**: C2/m (12)
**E_form (uncorrected)**: -1.138 eV/atom
**Density of states at the Fermi level**: 5.8 states/eV/f.u.
**Raw total energy**: -0.2430 Ha/atom

[6]
An optimized crystal structure of Pm2Si6Pt21, computed with GGA-PBE.

POSCAR file:
```
Pm2Si6Pt21
1.0
1.216 -1.766 8.470
-3.942 -6.899 3.634
4.704 -6.968 2.378
Pt Si Pm
21 6 2
Cartesian
-2.162 -5.127 5.304
0.420 -0.610 2.924
1.719 -6.944 2.812
-1.361 -2.382 1.255
1.624 -2.406 0.821
1.216 -9.611 8.904
2.420 -3.562 6.367
-0.565 -3.538 6.801
-1.049 -9.190 7.248
3.500 -5.172 4.481
1.320 -6.832 9.469
3.080 -4.563 1.557
3.026 -6.443 7.235
0.762 -6.021 5.579
0.000 0.000 0.000
2.922 -9.222 6.671
-0.957 -6.923 3.201
0.796 -1.156 5.546
-0.945 -6.411 7.812
-2.581 -4.517 2.380
0.657 -8.800 5.014
-0.755 -8.214 9.524
0.882 -10.657 6.665
3.304 -8.247 8.935
2.733 -7.418 4.958
1.095 -4.976 7.818
-1.326 -7.386 5.548
0.494 -3.908 3.621
1.483 -11.725 10.862
```

## Properties
**Calculated volume**: 472 Å³/cell
**Symmetry**: Fm-3m (225)
**E_form (uncorrected)**: -0.662 eV/atom
**Density of states at the Fermi level**: 17.4 states/eV/f.u.
**Raw total energy**: -0.2384 Ha/atom

[7]
An optimized crystal structure of Pm3Si6Pt20, computed with GGA-PBE.

POSCAR file:
```
Pm3Si6Pt20
1.0
7.617 0.000 4.398
2.539 7.181 4.398
0.000 0.000 8.795
Pt Si Pm
20 6 3
Cartesian
4.977 0.000 2.873
5.078 6.065 8.795
3.911 2.766 6.774
0.000 0.000 5.747
5.078 1.116 8.795
5.857 2.489 4.398
2.640 0.000 7.271
7.411 2.766 8.795
0.000 0.000 3.048
0.880 2.489 1.524
2.745 4.415 8.795
0.880 2.489 7.271
2.640 0.000 1.524
4.977 0.000 5.922
6.244 4.415 10.816
3.911 2.766 10.816
4.299 4.692 4.398
6.244 4.415 6.774
1.659 4.692 5.922
1.659 4.692 2.873
6.264 1.914 10.849
2.706 1.914 8.795
7.449 5.267 8.795
6.264 1.914 6.741
3.892 5.267 10.849
3.892 5.267 6.741
0.000 0.000 0.000
2.539 1.795 4.398
7.617 5.386 13.193
```

## Properties
**Calculated volume**: 481 Å³/cell
**Symmetry**: Fm-3m (225)
**E_form (uncorrected)**: -0.793 eV/atom
**Density of states at the Fermi level**: 18.6 states/eV/f.u.
**Raw total energy**: -0.2415 Ha/atom

[8]
An optimized crystal structure of PmSiPt6, computed with GGA-PBE.

POSCAR file:
```
PmSiPt6
1.0
5.531 0.000 0.000
2.765 4.790 0.000
2.765 1.597 6.065
Si Pt Pm
1 6 1
Cartesian
0.000 0.000 0.000
4.101 0.825 1.647
2.765 3.139 1.647
1.430 0.825 1.647
9.632 5.561 4.419
8.296 3.247 4.419
6.960 5.561 4.419
5.531 3.193 3.033
```

## Properties
**Calculated volume**: 161 Å³/cell
**Symmetry**: R-3m (166)
**E_form (uncorrected)**: -0.528 eV/atom
**Density of states at the Fermi level**: 5.2 states/eV/f.u.
**Raw total energy**: -0.2326 Ha/atom

[9]
An optimized crystal structure of PmSiPt3, computed with GGA-PBE.

POSCAR file:
```
PmSiPt3
1.0
-3.181 0.926 3.251
0.458 -4.305 1.675
3.349 1.468 2.859
Pt Pm Si
3 1 1
Cartesian
0.229 -2.152 0.837
-1.591 0.463 1.625
1.674 0.734 1.429
0.313 -0.955 3.892
0.000 0.000 0.000
```

## Properties
**Calculated volume**: 100 Å³/cell
**Excess energy over the best structure of this formula in the dataset**: 391.6 meV per atom
**Symmetry**: Pm-3m (221)
**E_form (uncorrected)**: -0.693 eV/atom
**Density of states at the Fermi level**: 2.6 states/eV/f.u.
**Raw total energy**: -0.2334 Ha/atom

[10]
An optimized crystal structure of PmSi3Pt10, computed with GGA-PBE.

POSCAR file:
```
PmSi3Pt10
1.0
0.946 1.801 8.492
5.337 -4.850 4.924
7.499 3.374 2.938
Pt Pm Si
20 2 6
Cartesian
8.750 1.673 7.649
2.592 1.166 1.016
8.038 -0.626 6.157
5.311 0.125 6.301
3.492 -3.173 3.222
2.464 -0.498 7.258
6.084 -2.007 4.237
6.752 0.531 3.625
0.619 1.179 5.556
8.472 0.200 10.052
4.907 2.208 1.923
6.023 2.425 7.794
3.212 2.345 6.572
1.845 -1.677 1.702
3.819 -2.551 6.157
0.327 0.623 2.936
5.032 -1.348 8.704
7.759 -2.100 8.560
5.234 2.830 4.858
5.745 0.952 10.197
3.446 0.081 4.088
10.337 0.244 12.265
4.075 0.939 8.326
7.627 2.537 9.718
9.707 -0.614 8.028
6.603 -1.359 10.659
6.155 -2.212 6.636
7.179 1.684 5.695
```

## Properties
**Calculated volume**: 471 Å³/cell
**Symmetry**: Fm-3m (225)
**E_form (uncorrected)**: -0.658 eV/atom
**Density of states at the Fermi level**: 9.0 states/eV/f.u.
**Raw total energy**: -0.2379 Ha/atom

[11]
An optimized crystal structure of Pm2Si4Pt3, computed with GGA-PBE.

POSCAR file:
```
Pm2Si4Pt3
1.0
-0.140 3.879 -4.068
-7.402 0.389 0.625
0.793 3.506 7.203
Pt Pm Si
6 4 8
Cartesian
-5.118 2.325 4.336
-1.631 5.450 -0.576
-5.188 4.264 2.302
-3.771 2.134 -1.721
-1.561 3.510 1.458
0.000 0.000 0.000
-4.240 1.380 1.462
-2.508 6.394 2.298
-0.122 4.333 4.136
-6.627 3.442 -0.376
-1.867 3.672 -2.263
-4.882 4.102 6.023
-6.957 2.352 2.482
0.209 5.423 1.279
-4.952 6.042 3.989
-1.797 1.732 -0.229
-3.692 4.116 0.166
-3.057 3.659 3.594
```

## Properties
**Calculated volume**: 315 Å³/cell
**Symmetry**: Cmce (64)
**E_form (uncorrected)**: -0.933 eV/atom
**Density of states at the Fermi level**: 2.9 states/eV/f.u.
**Raw total energy**: -0.2356 Ha/atom

[12]
An optimized crystal structure of PmSi2Pt2, computed with GGA-PBE.

POSCAR file:
```
PmSi2Pt2
1.0
-4.238 0.083 -0.279
-0.209 -3.699 2.079
1.988 4.239 3.401
Pt Si Pm
2 2 1
Cartesian
-0.223 -0.634 3.190
-2.237 1.257 2.011
-0.179 1.844 3.263
-2.281 -1.221 1.938
0.000 0.000 0.000
```

## Properties
**Calculated volume**: 89 Å³/cell
**Excess energy over the best structure of this formula in the dataset**: 69.5 meV per atom
**Symmetry**: I4/mmm (139)
**E_form (uncorrected)**: -1.048 eV/atom
**Density of states at the Fermi level**: 3.0 states/eV/f.u.
**Raw total energy**: -0.2420 Ha/atom

[13]
An optimized crystal structure of Pm12SiPt6, computed with GGA-PBE.

POSCAR file:
```
Pm12SiPt6
1.0
8.487 -0.085 -0.102
-1.371 8.376 -0.102
-1.371 -1.597 8.223
Pm Pt Si
12 6 1
Cartesian
-1.079 7.340 2.559
2.524 4.548 1.359
4.390 7.577 0.340
6.824 -0.646 5.460
3.222 2.145 6.659
0.136 2.574 4.718
7.418 2.509 0.503
1.632 5.925 4.643
4.113 0.769 3.376
1.356 -0.883 7.679
-1.673 4.184 7.516
5.609 4.120 3.301
1.635 0.135 4.987
1.167 4.337 6.995
-0.115 4.614 2.501
4.110 6.559 3.032
4.578 2.356 1.024
5.860 2.080 5.518
0.000 0.000 0.000
```

## Properties
**Calculated volume**: 581 Å³/cell
**Symmetry**: R-3 (148)
**E_form (uncorrected)**: -0.746 eV/atom
**Density of states at the Fermi level**: 20.2 states/eV/f.u.
**Raw total energy**: -0.2183 Ha/atom

[14]
An optimized crystal structure of Pm2Si3Pt5, computed with GGA-PBE.

POSCAR file:
```
Pm2Si3Pt5
1.0
-3.302 -0.704 2.306
2.385 -0.376 3.300
-0.965 10.850 1.932
Pm Pt Si
2 5 3
Cartesian
0.456 8.097 3.126
-1.879 2.212 1.610
-0.459 -0.540 2.803
1.032 1.618 1.972
-2.455 8.691 2.764
-0.941 4.885 3.769
0.000 0.000 0.000
-2.256 6.455 2.365
0.833 3.855 2.370
-0.482 5.425 0.966
```

## Properties
**Calculated volume**: 185 Å³/cell
**Excess energy over the best structure of this formula in the dataset**: 246.9 meV per atom
**Symmetry**: P-4m2 (115)
**E_form (uncorrected)**: -0.834 eV/atom
**Density of states at the Fermi level**: 4.3 states/eV/f.u.
**Raw total energy**: -0.2364 Ha/atom

[15]
An optimized crystal structure of Pm3Si2Pt, computed with GGA-PBE.

POSCAR file:
```
Pm3Si2Pt
1.0
7.376 0.374 0.292
2.739 6.859 0.292
2.739 1.958 6.579
Si Pm Pt
4 6 2
Cartesian
1.859 1.329 1.036
10.994 7.862 6.127
8.285 5.925 4.618
4.568 3.266 2.546
5.952 5.748 6.456
6.901 3.444 0.707
7.363 7.183 2.083
5.489 2.009 5.080
3.675 6.037 3.167
9.177 3.155 3.997
0.000 0.000 0.000
6.426 4.596 3.582
```

## Properties
**Calculated volume**: 318 Å³/cell
**Excess energy over the best structure of this formula in the dataset**: 130.1 meV per atom
**Symmetry**: R-3c (167)
**E_form (uncorrected)**: -0.737 eV/atom
**Density of states at the Fermi level**: 5.9 states/eV/f.u.
**Raw total energy**: -0.2178 Ha/atom

[16]
An optimized crystal structure of Pm3Si2Pt7, computed with GGA-PBE.

POSCAR file:
```
Pm3Si2Pt7
1.0
4.076 0.000 0.000
0.000 4.126 -0.613
0.000 0.037 14.443
Pm Si Pt
3 2 7
Cartesian
2.038 2.063 -0.306
2.038 1.259 8.475
2.038 2.904 5.355
0.000 0.345 2.321
0.000 3.818 11.510
0.000 2.583 3.194
0.000 0.889 5.989
2.038 0.525 3.533
2.038 3.638 10.297
0.000 0.000 0.000
0.000 1.580 10.637
0.000 3.273 7.841
```

## Properties
**Calculated volume**: 243 Å³/cell
**Symmetry**: Cmmm (65)
**E_form (uncorrected)**: -0.922 eV/atom
**Density of states at the Fermi level**: 5.0 states/eV/f.u.
**Raw total energy**: -0.2402 Ha/atom

[17]
An optimized crystal structure of Pm6Si2Pt, computed with GGA-PBE.

POSCAR file:
```
Pm6Si2Pt
1.0
-1.738 -4.407 4.306
2.895 -5.814 -4.783
8.991 0.838 4.424
Pm Pt Si
12 2 4
Cartesian
3.426 -9.173 0.170
7.576 -4.112 2.235
7.822 -3.057 6.155
1.286 -2.386 -0.676
5.483 -7.166 2.934
6.723 -0.210 3.777
2.327 -6.326 -2.208
5.642 -6.029 -0.413
4.506 -3.354 4.360
2.573 -5.271 1.712
8.862 -6.997 4.623
4.665 -2.217 1.013
0.579 -5.111 -0.239
4.495 0.419 2.212
8.309 -7.027 1.583
6.227 -5.669 5.472
1.839 -2.356 2.364
3.922 -3.715 -1.525
```

## Properties
**Calculated volume**: 519 Å³/cell
**Symmetry**: P2_1/c (14)
**E_form (uncorrected)**: -0.505 eV/atom
**Density of states at the Fermi level**: 10.7 states/eV/f.u.
**Raw total energy**: -0.2039 Ha/atom

[18]
An optimized crystal structure of Pm7Si2Pt, computed with GGA-PBE.

POSCAR file:
```
Pm7Si2Pt
1.0
-1.899 -2.285 4.078
0.622 -2.593 -4.284
11.836 -3.254 3.689
Pm Si Pt
7 2 1
Cartesian
0.373 -2.781 1.737
11.382 -5.679 2.119
9.104 -5.181 4.458
4.878 -3.891 0.092
3.175 -0.873 0.990
5.824 -4.280 3.436
8.671 -2.384 2.703
7.821 -4.700 1.009
3.094 -3.529 2.585
0.162 -0.045 0.051
```

## Properties
**Calculated volume**: 283 Å³/cell
**Symmetry**: P3m1 (156)
**E_form (uncorrected)**: -0.389 eV/atom
**Density of states at the Fermi level**: 9.4 states/eV/f.u.
**Raw total energy**: -0.1986 Ha/atom